1.
Density functional theory data (PBE-GGA) for KNaCa2P after structural relaxation.

Summary:
Energy above the most stable polymorph in this dataset ... 0 meV/atom
ΔE_f ... -0.378 eV per atom
Spin magnetization ... 0.00 μB/f.u.

Cell lengths 5.579, 5.579, 6.463 Å; angles 90.00, 90.00, 90.00 degrees
Space group P4/mmm (No. 123)
Inequivalent atoms, fractional coordinates:
K: 0.000 0.000 0.000 [1 per cell]
Na: 0.500 0.500 0.000 [1 per cell]
Ca: 0.000 0.500 0.500 [2 per cell]
P: 0.000 0.000 0.500 [1 per cell]

2.
Density functional theory data (PBE-GGA) for K2NaCaP after structural relaxation.

Summary:
ΔE_f ... 0.126 eV per atom
Spin magnetization ... 0.00 μB/f.u.

Cell lengths 7.119, 7.119, 5.203 Å; angles 90.00, 90.00, 90.00 degrees
Space group P4/mmm (No. 123)
Inequivalent atoms, fractional coordinates:
K: 0.000 0.500 0.000 [2 per cell]
Na: 0.000 0.000 0.500 [1 per cell]
Ca: 0.500 0.500 0.000 [1 per cell]
P: 0.500 0.500 0.500 [1 per cell]

3.
Density functional theory data (PBE-GGA) for KNa2CaPb after structural relaxation.

Summary:
ΔE_f ... -0.044 eV per atom
Spin magnetization ... 0.00 μB/f.u.

Cell lengths 6.166, 6.166, 6.163 Å; angles 90.00, 90.00, 90.00 degrees
Space group P4/mmm (No. 123)
Inequivalent atoms, fractional coordinates:
K: 0.000 0.000 0.000 [1 per cell]
Na: 0.000 0.500 0.500 [2 per cell]
Ca: 0.500 0.500 0.000 [1 per cell]
Pb: 0.500 0.500 0.500 [1 per cell]

4.
Density functional theory data (PBE-GGA) for KNa2CaPd after structural relaxation.

Summary:
ΔE_f ... -0.072 eV per atom
Spin magnetization ... 0.00 μB/f.u.

Cell lengths 5.855, 5.855, 5.488 Å; angles 90.00, 90.00, 90.00 degrees
Space group P4/mmm (No. 123)
Inequivalent atoms, fractional coordinates:
K: 0.000 0.000 0.000 [1 per cell]
Na: 0.000 0.500 0.500 [2 per cell]
Ca: 0.500 0.500 0.000 [1 per cell]
Pd: 0.500 0.500 0.500 [1 per cell]

5.
Density functional theory data (PBE-GGA) for KNaCa2Pt after structural relaxation.

Summary:
Energy above the most stable polymorph in this dataset ... 0 meV/atom
ΔE_f ... -0.291 eV per atom
Spin magnetization ... 0.00 μB/f.u.

Cell lengths 5.602, 5.602, 6.038 Å; angles 90.00, 90.00, 90.00 degrees
Space group P4/mmm (No. 123)
Inequivalent atoms, fractional coordinates:
K: 0.000 0.000 0.000 [1 per cell]
Na: 0.500 0.500 0.000 [1 per cell]
Ca: 0.000 0.500 0.500 [2 per cell]
Pt: 0.500 0.500 0.500 [1 per cell]

6.
Density functional theory data (PBE-GGA) for KNaCa2Pt after structural relaxation.

Summary:
Energy above the most stable polymorph in this dataset ... 38 meV/atom
ΔE_f ... -0.254 eV per atom
Spin magnetization ... 0.00 μB/f.u.

Cell lengths 5.596, 5.596, 6.405 Å; angles 90.00, 90.00, 90.00 degrees
Space group P4/mmm (No. 123)
Inequivalent atoms, fractional coordinates:
K: 0.000 0.000 0.000 [1 per cell]
Na: 0.500 0.500 0.000 [1 per cell]
Ca: 0.000 0.500 0.500 [2 per cell]
Pt: 0.000 0.000 0.500 [1 per cell]

7.
Density functional theory data (PBE-GGA) for KNaCaPt2 after structural relaxation.

Summary:
ΔE_f ... 0.576 eV per atom
Spin magnetization ... 0.00 μB/f.u.

Cell lengths 5.471, 5.471, 4.625 Å; angles 90.00, 90.00, 90.00 degrees
Space group P4/mmm (No. 123)
Inequivalent atoms, fractional coordinates:
K: 0.000 0.000 0.000 [1 per cell]
Na: 0.000 0.000 0.500 [1 per cell]
Ca: 0.500 0.500 0.500 [1 per cell]
Pt: 0.000 0.500 0.000 [2 per cell]

8.
Density functional theory data (PBE-GGA) for KRbNaCa after structural relaxation.

Summary:
ΔE_f ... 0.155 eV per atom
Spin magnetization ... 0.00 μB/f.u.

Cell lengths 9.658, 9.658, 9.658 Å; angles 90.00, 90.00, 90.00 degrees
Space group F-43m (No. 216)
Inequivalent atoms, fractional coordinates:
K: 0.000 0.000 0.000 [4 per cell]
Rb: 0.250 0.250 0.750 [4 per cell]
Na: 0.000 0.000 0.500 [4 per cell]
Ca: 0.250 0.250 0.250 [4 per cell]